# 1
ScTe2Pb | PBE | relaxed

Summary:
Space group ... No. 160
VASP energy ... -19.4 eV/cell
Total magnetization ... 0.000 μB per atom

Cell: 8.715 8.715 8.715 Å, 27.17 27.17 27.17°
Sites, in units of the cell vectors:
1 Sc 0.000 0.000 0.000
2 Te 0.403 0.403 0.403
3 Te 0.598 0.598 0.598
4 Pb 0.164 0.164 0.164


# 2
B2C3 | PBE | relaxed

Summary:
Formation energy from the elements ... 371 meV per atom
Space group ... No. 8
VASP energy ... -78.3 eV/cell
Total magnetization ... 0.000 μB per atom

Cell: 4.550 4.550 6.570 Å, 114.14 114.14 32.07°
Sites, in units of the cell vectors:
1 B 0.000 0.000 0.000
2 B 0.014 0.014 0.705
3 B 0.385 0.385 0.532
4 B 0.809 0.809 0.157
5 C 0.195 0.195 0.503
6 C 0.211 0.211 0.756
7 C 0.417 0.417 0.313
8 C 0.604 0.604 0.366
9 C 0.613 0.613 0.131
10 C 0.802 0.802 0.876


# 3
InNiMo2 | PBE | relaxed

Summary:
Formation energy from the elements ... 169 meV per atom
Space group ... No. 47
VASP energy ... -29.5 eV/cell
Total magnetization ... 0.000 μB per atom

Cell: 3.620 3.874 4.484 Å, 90.00 90.00 90.00°
Sites, in units of the cell vectors:
1 In 0.000 0.000 0.000
2 Ni 0.500 0.500 0.000
3 Mo 0.000 0.500 0.500
4 Mo 0.500 0.000 0.500


# 4
Ca2FeTe | PBE | relaxed

Summary:
Space group ... No. 44
VASP energy ... -16.5 eV/cell
Total magnetization ... 0.558 μB per atom

Cell: 6.746 6.746 6.746 Å, 146.32 140.04 53.22°
Sites, in units of the cell vectors:
1 Ca 0.000 0.000 0.000
2 Ca 0.722 0.222 0.500
3 Fe 0.249 0.749 0.500
4 Te 0.410 0.410 0.000


# 5
ThAlSiAu | PBE | relaxed

Summary:
Space group ... No. 44
VASP energy ... -21.8 eV/cell
Total magnetization ... 0.000 μB per atom

Cell: 6.008 6.008 6.008 Å, 141.98 136.46 59.16°
Sites, in units of the cell vectors:
1 Th 0.000 0.000 0.000
2 Al 0.721 0.221 0.500
3 Si 0.571 0.571 0.000
4 Au 0.331 0.331 0.000


# 6
Pu2GaIr3 | PBE | relaxed

Summary:
Formation energy from the elements ... -250 meV per atom
Space group ... No. 71
VASP energy ... -59.8 eV/cell
Total magnetization ... 1.468 μB per atom

Cell: 5.939 5.939 5.939 Å, 134.59 126.39 72.82°
Sites, in units of the cell vectors:
1 Pu 0.181 0.181 0.000
2 Pu 0.819 0.819 0.000
3 Ga 0.500 0.500 0.000
4 Ir 0.000 0.500 0.500
5 Ir 0.361 0.861 0.500
6 Ir 0.639 0.139 0.500


# 7
SiOsO3 | PBE | relaxed

Summary:
Space group ... No. 221
VASP energy ... -33.4 eV/cell
Total magnetization ... 0.000 μB per atom

Cell: 3.557 3.557 3.557 Å, 90.00 90.00 90.00°
Sites, in units of the cell vectors:
1 Si 0.000 0.000 0.000
2 Os 0.500 0.500 0.500
3 O 0.000 0.000 0.500
4 O 0.000 0.500 0.000
5 O 0.500 0.000 0.000


# 8
CsNa2Ge | PBE | relaxed

Summary:
Formation energy from the elements ... 12 meV per atom
Space group ... No. 14
VASP energy ... -32.2 eV/cell
Total magnetization ... 0.000 μB per atom

Cell: 10.347 7.095 10.115 Å, 90.00 115.90 90.00°
Sites, in units of the cell vectors:
1 Cs 0.133 0.073 0.219
2 Cs 0.133 0.427 0.719
3 Cs 0.867 0.573 0.281
4 Cs 0.867 0.927 0.781
5 Na 0.320 0.621 0.431
6 Na 0.320 0.879 0.931
7 Na 0.424 0.054 0.658
8 Na 0.424 0.446 0.158
9 Na 0.576 0.554 0.842
10 Na 0.576 0.946 0.342
11 Na 0.680 0.121 0.069
12 Na 0.680 0.379 0.569
13 Ge 0.109 0.577 0.072
14 Ge 0.109 0.923 0.572
15 Ge 0.891 0.077 0.428
16 Ge 0.891 0.423 0.928


# 9
Ac2NF | PBE | relaxed

Summary:
Space group ... No. 225
VASP energy ... -23.0 eV/cell
Total magnetization ... 0.000 μB per atom

Cell: 4.785 4.785 4.785 Å, 60.00 60.00 60.00°
Sites, in units of the cell vectors:
1 Ac 0.250 0.250 0.250
2 Ac 0.750 0.750 0.750
3 N 0.000 0.000 0.000
4 F 0.500 0.500 0.500


# 10
BaW2Cl | PBE | relaxed

Summary:
Space group ... No. 123
VASP energy ... -23.4 eV/cell
Total magnetization ... 0.000 μB per atom

Cell: 2.919 2.919 9.909 Å, 90.00 90.00 90.00°
Sites, in units of the cell vectors:
1 Ba 0.000 0.000 0.000
2 W 0.500 0.500 0.297
3 W 0.500 0.500 0.703
4 Cl 0.000 0.000 0.500


# 11
ZnAs2BrO | PBE | relaxed

Summary:
Space group ... No. 123
VASP energy ... -16.2 eV/cell
Total magnetization ... 0.000 μB per atom

Cell: 4.107 4.107 6.699 Å, 90.00 90.00 90.00°
Sites, in units of the cell vectors:
1 Zn 0.000 0.000 0.000
2 As 0.000 0.500 0.500
3 As 0.500 0.000 0.500
4 Br 0.500 0.500 0.000
5 O 0.500 0.500 0.500


# 12
Pm2Dy4N | PBE | relaxed

Summary:
Space group ... No. 139
VASP energy ... -38.2 eV/cell
Total magnetization ... 0.000 μB per atom

Cell: 9.528 9.528 9.528 Å, 150.84 150.84 41.71°
Sites, in units of the cell vectors:
1 Pm 0.172 0.172 0.000
2 Pm 0.828 0.828 0.000
3 Dy 0.000 0.500 0.500
4 Dy 0.369 0.369 0.000
5 Dy 0.500 0.000 0.500
6 Dy 0.631 0.631 0.000
7 N 0.500 0.500 0.000


# 13
Zn5Sn | PBE | relaxed

Summary:
Formation energy from the elements ... 154 meV per atom
Space group ... No. 65
VASP energy ... -9.4 eV/cell
Total magnetization ... 0.000 μB per atom

Cell: 7.342 7.342 3.361 Å, 90.00 90.00 143.27°
Sites, in units of the cell vectors:
1 Zn 0.000 0.000 0.000
2 Zn 0.161 0.839 0.500
3 Zn 0.312 0.688 0.000
4 Zn 0.688 0.312 0.000
5 Zn 0.839 0.161 0.500
6 Sn 0.500 0.500 0.500